Entry from Alexandria: crystalline PrPaRh2 at its relaxed geometry (PBE).

Properties
Total moment: 0.000 μB/f.u.
Uncorrected energy: -7.9073 eV/atom
Energy above the lowest structure with this stoichiometry: 1.180 kcal/mol of atoms
Calculated formation energy: -2.7 eV per formula unit

Cell: 3.8714 3.8714 21.9453 Å, 90.00 90.00 120.00°
Last column: nearest neighbours and their distance in Å.
Space group R3m (No. 160, hexagonal axes)
Inequivalent atoms, fractional coordinates:
Pr (0.0000, 0.0000, 0.0000) (multiplicity 3)  6 Rh 2.99-3.10
Pa (0.0000, 0.0000, 0.1710) (multiplicity 3)  6 Rh 2.73-2.75
Rh (0.0000, 0.0000, 0.5758) (multiplicity 3)  3 Pa 2.73, 3 Pr 2.99
Rh (0.0000, 0.0000, 0.7645) (multiplicity 3)  3 Pa 2.75